Computed, not measured: crystalline Rb2RuSeBr6 at its relaxed geometry at the PBE level of DFT.

Values from the calculation:
- symmetry = I4/mmm (139)
- energy relative to the elements, uncorrected (eV per atom) = -0.661
- Fermi-level density of states (states/eV/cell) = 8.608

Cell lengths 7.991, 7.991, 7.701 Å; angles 58.75, 58.75, 90.00 degrees
Site moments in Bohr magnetons follow the coordinates.
Positions (direct):
Se1 0.500 0.500 0.000  -0.03
Br1 0.225 0.225 0.000  0.03
Br2 0.775 0.775 0.000  0.03
Br3 0.775 0.225 0.000  0.03
Br4 0.225 0.775 0.000  0.03
Br5 0.247 0.247 0.507  0.03
Br6 0.753 0.753 0.493  0.03
Ru1 0.000 0.000 0.000  1.44
Rb1 0.250 0.750 0.500  0.00
Rb2 0.750 0.250 0.500  0.00